A plane-wave DFT calculation with PBE was carried out for an optimized crystal structure of Na4PuNb3N8.

Values from the calculation:
Formation energy from raw total energies (eV per atom): -0.7320
DFT total energy (eV per atom): -8.01

a b c (Å): 6.4386 6.8029 6.4386
angles (deg): 118.25 120.00 90.00
Positions (direct):
1 N 0.2337 0.6925 0.9588
2 N 0.7663 0.3075 0.5325
3 N 0.7316 0.6948 0.4632
4 N 0.7251 0.6925 0.9588
5 N 0.2684 0.3052 0.5368
6 N 0.2749 0.3075 0.0412
7 N 0.7663 0.3075 0.0412
8 N 0.2337 0.6925 0.4675
9 Na 0.5000 0.0000 0.5000
10 Na 0.0000 0.0000 0.5000
11 Na 0.0000 0.0000 0.0000
12 Na 0.5000 0.0000 0.0000
13 Nb 0.5000 0.5000 0.5000
14 Nb 0.5000 0.5000 0.0000
15 Nb 0.0000 0.5000 0.5000
16 Pu 0.0000 0.5000 0.0000